Record 1
The following is a PBE calculation of a geometry-optimized AlGa3Mo structure, from the Alexandria database.

Lattice parameters (Å, degrees): 4.936 4.936 4.936 90.00 90.00 90.00
Fractional positions:
Al 0.500 0.500 0.500
Ga 0.500 0.000 0.000
Ga 0.000 0.000 0.500
Ga 0.000 0.500 0.000
Mo 0.000 0.000 0.000

- ΔE to the lowest computed polymorph: 10.78 kcal/mol of atoms
- Symmetry: Pm-3m (221)



Record 2
The following is a PBE calculation of a geometry-optimized AlGa2Mo structure, from the Alexandria database.

Lattice parameters (Å, degrees): 4.882 5.200 5.200 100.79 90.00 90.00
Fractional positions:
Al 0.250 0.069 0.574
Al 0.750 0.426 0.931
Ga 0.500 0.563 0.437
Ga 0.000 0.563 0.437
Ga 0.250 0.700 0.946
Ga 0.750 0.054 0.300
Mo 0.250 0.216 0.090
Mo 0.750 0.910 0.784

- Symmetry: Ama2 (40)



Record 3
The following is a PBE calculation of a geometry-optimized Al4Ga2Mo structure, from the Alexandria database.

Lattice parameters (Å, degrees): 6.879 6.879 5.440 129.22 129.22 90.00
Fractional positions:
Al 0.191 0.191 0.998
Al 0.193 0.809 0.002
Al 0.809 0.193 0.002
Al 0.807 0.807 0.998
Ga 0.750 0.250 0.500
Ga 0.250 0.750 0.500
Mo 0.500 0.500 0.000

- Symmetry: I4/mmm (139)



Record 4
The following is a PBE calculation of a geometry-optimized AlGaMo structure, from the Alexandria database.

Lattice parameters (Å, degrees): 4.943 4.811 5.250 108.61 101.82 119.16
Fractional positions:
Ga 0.973 0.526 0.259
Ga 0.027 0.474 0.741
Mo 0.614 0.825 0.219
Mo 0.386 0.175 0.781
Al 0.719 0.831 0.743
Al 0.281 0.169 0.257

- ΔE to the lowest computed polymorph: 0.31 kcal/mol of atoms
- Symmetry: P-1 (2)



no.,E (eV per atom),energy relative to the elements (eV/f.u.)
1,-4.224,2.53
2,-5.269,-0.45
3,-4.289,1.83
4,-6.032,-0.49